Record 1
This record from the Alexandria database describes a geometry-optimized Ta2TlI structure. The functional is GGA-PBE.

The space group is Fm-3m (No. 225) and the conventional cell measures 6.894, 6.894 and 6.894 Å, with angles of 90.00, 90.00 and 90.00 degrees. The distinct sites, in fractional coordinates, are Ta at (0.250, 0.250, 0.250), Tl at (0.000, 0.000, 0.000) and I at (0.000, 0.000, 0.500).

The excess energy over the best structure of this formula in the dataset is 0 meV/atom. The formation energy from raw total energies is 3.6 eV per formula unit. The calculation puts the final energy at -6.00 eV per atom.



Record 2
This record from the Alexandria database describes a geometry-optimized TaTl3I structure. The functional is GGA-PBE.

The space group is Pm-3m (No. 221) and the conventional cell measures 5.674, 5.674 and 5.674 Å, with angles of 90.00, 90.00 and 90.00 degrees. The distinct sites, in fractional coordinates, are Ta at (0.000, 0.000, 0.000), Tl at (0.000, 0.000, 0.500) and I at (0.500, 0.500, 0.500).

The excess energy over the best structure of this formula in the dataset is 0 meV/atom. The formation energy from raw total energies is 2.9 eV per formula unit. The calculation puts the final energy at -3.51 eV per atom.



Record 3
This record from the Alexandria database describes a geometry-optimized Ta3Tl2I9 structure. The functional is GGA-PBE.

The space group is C2/m (No. 12) and the conventional cell measures 11.648, 18.692 and 10.979 Å, with angles of 90.00, 114.98 and 90.00 degrees. The distinct sites, in fractional coordinates, are Ta at (0.109, 0.000, 0.389), Ta at (0.117, 0.079, 0.626), Tl at (0.107, 0.339, 0.841), I at (0.000, 0.208, 0.500), I at (0.012, 0.103, 0.811), I at (0.191, 0.500, 0.169), I at (0.200, 0.298, 0.174), I at (0.204, 0.395, 0.480) and I at (0.223, 0.500, 0.781).

The formation energy from raw total energies is -6.9 eV per formula unit. The calculation puts the final energy at -4.37 eV per atom.



Record 4
This record from the Alexandria database describes a geometry-optimized Ta2TlI structure. The functional is GGA-PBE.

The space group is I-42d (No. 122) and the conventional cell measures 4.296, 4.296 and 20.515 Å, with angles of 90.00, 90.00 and 90.00 degrees. The distinct sites, in fractional coordinates, are Ta at (0.238, 0.250, 0.125), Tl at (0.000, 0.000, 0.000) and I at (0.000, 0.000, 0.500).

The excess energy over the best structure of this formula in the dataset is 172 meV/atom. The formation energy from raw total energies is 4.3 eV per formula unit. The calculation puts the final energy at -5.83 eV per atom.



Record 5
This record from the Alexandria database describes a geometry-optimized TaTl3I structure. The functional is GGA-PBE.

The space group is Pm-3m (No. 221) and the conventional cell measures 6.272, 6.272 and 6.272 Å, with angles of 90.00, 90.00 and 90.00 degrees. The distinct sites, in fractional coordinates, are Ta at (0.000, 0.000, 0.000), Tl at (0.000, 0.500, 0.500) and I at (0.500, 0.500, 0.500).

The excess energy over the best structure of this formula in the dataset is 851 meV/atom. The formation energy from raw total energies is 7.2 eV per formula unit. The calculation puts the final energy at -2.66 eV per atom.



Record 6
This record from the Alexandria database describes a geometry-optimized TaTl2I7 structure. The functional is GGA-PBE.

The space group is C2/c (No. 15) and the conventional cell measures 18.538, 9.058 and 13.802 Å, with angles of 90.00, 126.31 and 90.00 degrees. The distinct sites, in fractional coordinates, are Ta at (0.000, 0.230, 0.250), Tl at (0.110, 0.251, 0.035), I at (0.000, 0.109, 0.750), I at (0.058, 0.485, 0.186), I at (0.078, 0.166, 0.495) and I at (0.173, 0.147, 0.322).

The formation energy from raw total energies is -4.0 eV per formula unit. The calculation puts the final energy at -3.14 eV per atom.



Record 7
This record from the Alexandria database describes a geometry-optimized Ta2TlWI structure. The functional is GGA-PBE.

The space group is P4/mmm (No. 123) and the conventional cell measures 5.196, 5.196 and 5.603 Å, with angles of 90.00, 90.00 and 90.00 degrees. The distinct sites, in fractional coordinates, are Ta at (0.000, 0.500, 0.000), Tl at (0.000, 0.000, 0.000), W at (0.500, 0.500, 0.500) and I at (0.000, 0.000, 0.500).

The formation energy from raw total energies is 15.4 eV per formula unit. The calculation puts the final energy at -5.03 eV per atom.



Record 8
This record from the Alexandria database describes a geometry-optimized TaV2I structure. The functional is GGA-PBE.

The space group is I-42d (No. 122) and the conventional cell measures 4.039, 4.039 and 18.225 Å, with angles of 90.00, 90.00 and 90.00 degrees. The distinct sites, in fractional coordinates, are Ta at (0.000, 0.000, 0.000), V at (0.228, 0.250, 0.625) and I at (0.000, 0.000, 0.500).

The excess energy over the best structure of this formula in the dataset is 319 meV/atom. The formation energy from raw total energies is 4.3 eV per formula unit. The calculation puts the final energy at -6.84 eV per atom.



Record 9
This record from the Alexandria database describes a geometry-optimized TaVI structure. The functional is GGA-PBE.

The space group is P1 (No. 1) and the conventional cell measures 3.392, 4.965 and 10.032 Å, with angles of 91.90, 90.54 and 109.96 degrees. The distinct sites, in fractional coordinates, are Ta at (0.000, 0.000, 0.000), Ta at (0.276, 0.559, 0.867), V at (0.551, 0.112, 0.806), V at (0.724, 0.444, 0.065), I at (0.151, 0.287, 0.269) and I at (0.872, 0.764, 0.632).

The formation energy from raw total energies is 0.6 eV per formula unit. The calculation puts the final energy at -7.29 eV per atom.



Record 10
This record from the Alexandria database describes a geometry-optimized TaV2I structure. The functional is GGA-PBE.

The space group is Fm-3m (No. 225) and the conventional cell measures 6.436, 6.436 and 6.436 Å, with angles of 90.00, 90.00 and 90.00 degrees. The distinct sites, in fractional coordinates, are Ta at (0.000, 0.000, 0.000), V at (0.250, 0.250, 0.250) and I at (0.000, 0.000, 0.500).

The excess energy over the best structure of this formula in the dataset is 0 meV/atom. The formation energy from raw total energies is 3.0 eV per formula unit. The calculation puts the final energy at -7.16 eV per atom.



Record 11
This record from the Alexandria database describes a geometry-optimized TaVI2 structure. The functional is GGA-PBE.

The space group is I-42d (No. 122) and the conventional cell measures 6.515, 6.515 and 11.305 Å, with angles of 90.00, 90.00 and 90.00 degrees. The distinct sites, in fractional coordinates, are Ta at (0.000, 0.000, 0.000), V at (0.000, 0.000, 0.500) and I at (0.245, 0.250, 0.625).

The excess energy over the best structure of this formula in the dataset is 335 meV/atom. The formation energy from raw total energies is 4.7 eV per formula unit. The calculation puts the final energy at -4.85 eV per atom.



Record 12
This record from the Alexandria database describes a geometry-optimized TaVI2 structure. The functional is GGA-PBE.

The space group is Fm-3m (No. 225) and the conventional cell measures 6.927, 6.927 and 6.927 Å, with angles of 90.00, 90.00 and 90.00 degrees. The distinct sites, in fractional coordinates, are Ta at (0.000, 0.000, 0.000), V at (0.000, 0.000, 0.500) and I at (0.250, 0.250, 0.250).

The excess energy over the best structure of this formula in the dataset is 0 meV/atom. The formation energy from raw total energies is 3.3 eV per formula unit. The calculation puts the final energy at -5.18 eV per atom.



Record 13
This record from the Alexandria database describes a geometry-optimized Y2TaVI structure. The functional is GGA-PBE.

The space group is P4/mmm (No. 123) and the conventional cell measures 5.329, 5.329 and 4.879 Å, with angles of 90.00, 90.00 and 90.00 degrees. The distinct sites, in fractional coordinates, are Y at (0.000, 0.500, 0.000), Ta at (0.000, 0.000, 0.500), V at (0.500, 0.500, 0.000) and I at (0.500, 0.500, 0.500).

The formation energy from raw total energies is 6.0 eV per formula unit. The calculation puts the final energy at -5.89 eV per atom.



Record 14
This record from the Alexandria database describes a geometry-optimized TaW3I structure. The functional is GGA-PBE.

The space group is Pm-3m (No. 221) and the conventional cell measures 4.788, 4.788 and 4.788 Å, with angles of 90.00, 90.00 and 90.00 degrees. The distinct sites, in fractional coordinates, are Ta at (0.000, 0.000, 0.000), W at (0.000, 0.500, 0.500) and I at (0.500, 0.500, 0.500).

The excess energy over the best structure of this formula in the dataset is 275 meV/atom. The formation energy from raw total energies is 14.0 eV per formula unit. The calculation puts the final energy at -7.65 eV per atom.



Record 15
This record from the Alexandria database describes a geometry-optimized Ta2WI structure. The functional is GGA-PBE.

The space group is I-42d (No. 122) and the conventional cell measures 4.082, 4.082 and 19.562 Å, with angles of 90.00, 90.00 and 90.00 degrees. The distinct sites, in fractional coordinates, are Ta at (0.248, 0.250, 0.125), W at (0.000, 0.000, 0.000) and I at (0.000, 0.000, 0.500).

The excess energy over the best structure of this formula in the dataset is 382 meV/atom. The formation energy from raw total energies is 5.3 eV per formula unit. The calculation puts the final energy at -8.22 eV per atom.



Record 16
This record from the Alexandria database describes a geometry-optimized TaWI3 structure. The functional is GGA-PBE.

The space group is Pm-3m (No. 221) and the conventional cell measures 5.566, 5.566 and 5.566 Å, with angles of 90.00, 90.00 and 90.00 degrees. The distinct sites, in fractional coordinates, are Ta at (0.000, 0.000, 0.000), W at (0.500, 0.500, 0.500) and I at (0.000, 0.000, 0.500).

The excess energy over the best structure of this formula in the dataset is 0 meV/atom. The formation energy from raw total energies is 7.8 eV per formula unit. The calculation puts the final energy at -4.34 eV per atom.



Record 17
This record from the Alexandria database describes a geometry-optimized TaW3I structure. The functional is GGA-PBE.

The space group is Pm-3m (No. 221) and the conventional cell measures 4.894, 4.894 and 4.894 Å, with angles of 90.00, 90.00 and 90.00 degrees. The distinct sites, in fractional coordinates, are Ta at (0.000, 0.000, 0.000), W at (0.000, 0.000, 0.500) and I at (0.500, 0.500, 0.500).

The excess energy over the best structure of this formula in the dataset is 0 meV/atom. The formation energy from raw total energies is 12.6 eV per formula unit. The calculation puts the final energy at -7.92 eV per atom.



Record 18
This record from the Alexandria database describes a geometry-optimized Ta2WI structure. The functional is GGA-PBE.

The space group is Fm-3m (No. 225) and the conventional cell measures 6.718, 6.718 and 6.718 Å, with angles of 90.00, 90.00 and 90.00 degrees. The distinct sites, in fractional coordinates, are Ta at (0.250, 0.250, 0.250), W at (0.000, 0.000, 0.000) and I at (0.000, 0.000, 0.500).

The excess energy over the best structure of this formula in the dataset is 0 meV/atom. The formation energy from raw total energies is 3.8 eV per formula unit. The calculation puts the final energy at -8.60 eV per atom.



Record 19
This record from the Alexandria database describes a geometry-optimized Y2Ta2I structure. The functional is GGA-PBE.

The space group is P4/mbm (No. 127) and the conventional cell measures 8.415, 8.415 and 3.764 Å, with angles of 90.00, 90.00 and 90.00 degrees. The distinct sites, in fractional coordinates, are Y at (0.189, 0.311, 0.000), Ta at (0.100, 0.600, 0.500) and I at (0.000, 0.000, 0.500).

The excess energy over the best structure of this formula in the dataset is 0 meV/atom. The formation energy from raw total energies is 2.1 eV per formula unit. The calculation puts the final energy at -7.22 eV per atom.



Record 20
This record from the Alexandria database describes a geometry-optimized YTa2I2 structure. The functional is GGA-PBE.

The space group is I4/mmm (No. 139) and the conventional cell measures 3.711, 3.711 and 24.057 Å, with angles of 90.00, 90.00 and 90.00 degrees. The distinct sites, in fractional coordinates, are Y at (0.000, 0.000, 0.000), Ta at (0.000, 0.500, 0.250) and I at (0.000, 0.000, 0.422).

The excess energy over the best structure of this formula in the dataset is 0 meV/atom. The formation energy from raw total energies is 2.2 eV per formula unit. The calculation puts the final energy at -6.22 eV per atom.